! Nd2Ga6Co, optimized geometry, DFT PBE; values from VASP
! ρ = 7.33 g/cm³
! relative energy among the computed polymorphs = 58.5 meV per atom
! volume = 173.5 Å³ per cell
&SYSTEM
  ibrav = 0, nat = 9, ntyp = 3
/
ATOMIC_SPECIES
Nd 144.24 Nd.upf
Ga 69.72 Ga.upf
Co 58.93 Co.upf
ATOMIC_POSITIONS angstrom
Nd -7.457 2.402 2.546
Nd -2.901 1.234 1.910
Ga -4.544 3.579 3.065
Ga -6.348 3.114 5.450
Ga -5.139 0.759 3.983
Ga -5.813 0.057 1.391
Ga -4.010 0.522 -0.995
Ga -5.219 2.877 0.473
Co 0.000 0.000 0.000
CELL_PARAMETERS angstrom
-4.289 -0.165 -3.284
-3.633 -0.937 4.794
-2.436 4.738 2.946


! Nd8Ga2Co, optimized geometry, DFT PBE; values from VASP
! ρ = 7.15 g/cm³
! relative energy among the computed polymorphs = 113.3 meV per atom
! volume = 314.2 Å³ per cell
&SYSTEM
  ibrav = 0, nat = 11, ntyp = 3
/
ATOMIC_SPECIES
Nd 144.24 Nd.upf
Ga 69.72 Ga.upf
Co 58.93 Co.upf
ATOMIC_POSITIONS angstrom
Nd 1.967 6.681 -1.948
Nd 0.942 4.215 3.097
Nd 0.444 0.905 1.459
Nd -0.438 2.536 -1.440
Nd 3.052 6.600 1.616
Nd 2.554 3.290 -0.022
Nd 1.529 0.824 5.023
Nd 3.934 4.969 4.515
Ga 0.061 5.279 0.200
Ga 3.435 2.227 2.875
Co 2.343 0.000 -0.713
CELL_PARAMETERS angstrom
4.686 0.000 -1.426
-1.318 7.622 -4.329
0.127 -0.117 8.830


! Nd4Ga2Co, optimized geometry, DFT PBE; values from VASP
! ρ = 7.06 g/cm³
! volume = 364.9 Å³ per cell
&SYSTEM
  ibrav = 0, nat = 14, ntyp = 3
/
ATOMIC_SPECIES
Co 58.93 Co.upf
Nd 144.24 Nd.upf
Ga 69.72 Ga.upf
ATOMIC_POSITIONS angstrom
Co -7.001 3.067 2.223
Co -7.285 -3.600 -2.002
Nd -10.633 -0.792 1.978
Nd -5.010 -2.413 0.742
Nd -9.275 1.879 -0.521
Nd -12.255 -0.618 -0.845
Nd -8.376 -1.327 -1.235
Nd -2.030 0.085 1.066
Nd -3.652 0.259 -1.757
Nd -5.910 0.794 1.456
Ga -8.516 1.254 2.982
Ga -5.770 -1.788 -2.761
Ga -6.658 1.125 -2.071
Ga -7.627 -1.658 2.292
CELL_PARAMETERS angstrom
-3.427 0.367 -5.963
-4.549 -4.601 2.331
-6.310 3.701 3.853


! Nd2Ga9Co3, optimized geometry, DFT PBE; values from VASP
! ρ = 7.87 g/cm³
! volume = 461.3 Å³ per cell
&SYSTEM
  ibrav = 0, nat = 28, ntyp = 3
/
ATOMIC_SPECIES
Nd 144.24 Nd.upf
Ga 69.72 Ga.upf
Co 58.93 Co.upf
ATOMIC_POSITIONS angstrom
Nd 1.585 1.741 6.896
Nd 1.634 4.757 0.697
Nd 4.796 3.831 4.987
Nd -1.577 2.667 2.606
Ga -0.284 5.931 6.521
Ga 3.503 0.566 1.072
Ga 2.026 4.614 5.942
Ga 1.193 1.884 1.651
Ga 0.875 4.271 8.441
Ga 2.344 2.227 -0.848
Ga -0.426 3.425 5.346
Ga 3.645 3.073 2.247
Ga 5.819 0.978 5.336
Ga -2.600 5.519 2.258
Ga -2.718 6.402 9.534
Ga 5.937 0.095 -1.941
Ga 3.162 1.283 4.257
Ga 0.057 5.214 3.336
Ga 2.781 5.492 3.435
Ga 0.438 1.006 4.158
Ga 4.537 2.143 7.490
Ga -1.318 4.355 0.103
Co 3.442 -0.014 -1.439
Co 1.609 3.249 3.797
Co 5.277 1.170 2.818
Co -2.058 5.327 4.775
Co -0.199 2.123 -0.487
Co 3.418 4.375 8.080
CELL_PARAMETERS angstrom
6.885 -0.027 -2.877
-4.052 6.266 -0.019
0.386 0.259 10.489


! NdGa12Co4, optimized geometry, DFT PBE; values from VASP
! ρ = 5.44 g/cm³
! volume = 371.3 Å³ per cell
&SYSTEM
  ibrav = 0, nat = 17, ntyp = 3
/
ATOMIC_SPECIES
Nd 144.24 Nd.upf
Ga 69.72 Ga.upf
Co 58.93 Co.upf
ATOMIC_POSITIONS angstrom
Nd 0.000 0.000 0.000
Ga 2.076 -4.508 5.085
Ga 2.565 -1.591 -1.375
Ga 4.206 0.282 3.502
Ga 6.901 -1.393 -0.961
Ga 0.571 -6.471 -2.879
Ga 2.211 -4.598 1.999
Ga 0.142 -3.312 0.097
Ga 4.634 -2.877 0.527
Ga -2.125 -4.796 1.584
Ga 2.535 -4.681 -1.301
Ga 2.241 -1.508 1.924
Ga 2.700 -1.681 -4.462
Co 2.560 0.020 -2.970
Co -2.115 -3.300 -0.119
Co 2.388 -3.094 0.312
Co 1.943 0.186 3.401
CELL_PARAMETERS angstrom
-4.229 -6.600 -0.237
5.119 0.040 -5.941
3.886 0.371 6.802


! NdGa3Co3, optimized geometry, DFT PBE; values from VASP
! ρ = 6.66 g/cm³
! relative energy among the computed polymorphs = 273.6 meV per atom
! volume = 264.3 Å³ per cell
&SYSTEM
  ibrav = 0, nat = 14, ntyp = 3
/
ATOMIC_SPECIES
Co 58.93 Co.upf
Nd 144.24 Nd.upf
Ga 69.72 Ga.upf
ATOMIC_POSITIONS angstrom
Co 1.604 0.000 3.209
Co 0.000 3.209 1.604
Co 3.209 4.813 0.000
Co 4.813 0.000 3.209
Co 0.000 3.209 4.813
Co 3.209 1.604 0.000
Nd 3.209 3.209 3.209
Nd 0.000 0.000 0.000
Ga 0.000 1.604 3.209
Ga 0.000 4.813 3.209
Ga 3.209 0.000 4.813
Ga 4.813 3.209 0.000
Ga 3.209 0.000 1.604
Ga 1.604 3.209 0.000
CELL_PARAMETERS angstrom
6.418 0.000 0.000
0.000 6.418 0.000
0.000 0.000 6.418


no.,formation energy from the elements (eV/atom)
1,-0.505
2,-0.081
3,-0.297
4,-0.470
5,-0.185
6,0.138